1.
An optimized crystal structure of Pt2Cl. Source: Alexandria, functional PBE.

Structure (POSCAR):
```
Pt2Cl
1.0
3.016 0.000 0.000
0.000 3.016 0.000
0.000 0.000 11.313
Pt Cl
4 2
Cartesian
0.000 0.000 1.976
0.000 0.000 9.337
1.508 1.508 3.680
1.508 1.508 7.632
0.000 0.000 5.656
1.508 1.508 0.000
```

Computed properties:
Energy relative to the lowest polymorph listed for this composition, eV per atom: 0.398

---

2.
An optimized crystal structure of PtCl. Source: Alexandria, functional PBE.

Structure (POSCAR):
```
PtCl
1.0
3.078 0.000 0.000
-1.539 2.665 0.000
0.000 0.000 8.794
Pt Cl
2 2
Cartesian
0.000 1.777 0.000
1.539 0.888 4.397
0.000 1.777 6.523
1.539 0.888 2.126
```

---

3.
An optimized crystal structure of Rb3PtCl8. Source: Alexandria, functional PBE.

Structure (POSCAR):
```
Rb3PtCl8
1.0
10.022 0.000 0.000
-5.011 8.679 0.000
0.000 0.000 8.535
Rb Pt Cl
6 2 16
Cartesian
0.000 2.629 0.000
-2.734 7.364 0.000
2.277 1.315 4.267
2.734 7.364 0.000
7.745 1.315 4.267
5.011 6.050 4.267
0.000 5.786 3.688
5.011 2.893 7.955
0.000 0.000 2.152
0.000 0.000 6.419
-1.656 4.830 2.347
0.000 3.854 5.037
-1.673 6.752 5.037
0.000 5.786 7.934
3.338 1.927 0.769
1.656 4.830 2.347
0.000 7.699 2.347
5.011 0.981 6.615
3.355 3.849 6.615
1.673 6.752 5.037
5.011 2.893 3.666
6.684 1.927 0.769
5.011 4.825 0.769
6.667 3.849 6.615
```

---

no.,uncorrected formation energy (kJ/mol of atoms),calculated total energy (eV per atom)
1,55.2,-4.071
2,46.1,-3.466
3,-110.5,-3.122